No. 1
The following is a PBE calculation of a relaxed Ce2Si2I crystal, from Alexandria via LeMat-Bulk.

CIF file:
```
data_Ce2Si2I
_cell_length_a 9.782
_cell_length_b 9.782
_cell_length_c 9.782
_cell_angle_alpha 130.88
_cell_angle_beta 54.98
_cell_angle_gamma 156.84
_symmetry_space_group_name_H-M 'P 1'
_symmetry_Int_Tables_number 1
_symmetry_space_group_name_Hall 'P 1'
loop_
_atom_site_label
_atom_site_type_symbol
_atom_site_fract_x
_atom_site_fract_y
_atom_site_fract_z
Ce1 Ce 0.347 0.000 0.847
Ce2 Ce 0.347 0.500 0.347
Ce3 Ce 0.653 0.000 0.153
Ce4 Ce 0.653 0.500 0.653
Si1 Si 0.210 0.250 0.960
Si2 Si 0.210 0.750 0.460
Si3 Si 0.790 0.250 0.540
Si4 Si 0.790 0.750 0.040
I1 I 0.490 0.240 0.250
I2 I 0.510 0.760 0.750
```

## Properties
The raw total energy is -56.6 eV/cell.



No. 2
The following is a PBE calculation of a relaxed NiHSe2 crystal, from Alexandria via LeMat-Bulk.

CIF file:
```
data_NiHSe2
_cell_length_a 4.695
_cell_length_b 4.695
_cell_length_c 11.515
_cell_angle_alpha 90.00
_cell_angle_beta 90.00
_cell_angle_gamma 90.00
_symmetry_space_group_name_H-M 'P 1'
_symmetry_Int_Tables_number 1
_symmetry_space_group_name_Hall 'P 1'
loop_
_atom_site_label
_atom_site_type_symbol
_atom_site_fract_x
_atom_site_fract_y
_atom_site_fract_z
Ni1 Ni 0.000 0.250 0.375
Ni2 Ni 0.000 0.750 0.625
Ni3 Ni 0.500 0.250 0.125
Ni4 Ni 0.500 0.750 0.875
H1 H 0.000 0.250 0.875
H2 H 0.000 0.750 0.125
H3 H 0.500 0.250 0.625
H4 H 0.500 0.750 0.375
Se1 Se 0.000 0.250 0.169
Se2 Se 0.000 0.250 0.581
Se3 Se 0.000 0.750 0.419
Se4 Se 0.000 0.750 0.831
Se5 Se 0.500 0.250 0.331
Se6 Se 0.500 0.250 0.919
Se7 Se 0.500 0.750 0.081
Se8 Se 0.500 0.750 0.669
```

## Properties
As for the distance to the lowest polymorph of the same formula: 0.371 eV per atom.



No. 3
The following is a PBE calculation of a relaxed Mn2CoCl crystal, from Alexandria via LeMat-Bulk.

CIF file:
```
data_Mn2CoCl
_cell_length_a 3.957
_cell_length_b 3.957
_cell_length_c 7.481
_cell_angle_alpha 90.00
_cell_angle_beta 90.00
_cell_angle_gamma 90.00
_symmetry_space_group_name_H-M 'P 1'
_symmetry_Int_Tables_number 1
_symmetry_space_group_name_Hall 'P 1'
loop_
_atom_site_label
_atom_site_type_symbol
_atom_site_fract_x
_atom_site_fract_y
_atom_site_fract_z
Mn1 Mn 0.000 0.500 0.250
Mn2 Mn 0.000 0.500 0.750
Mn3 Mn 0.500 0.000 0.250
Mn4 Mn 0.500 0.000 0.750
Co1 Co 0.000 0.000 0.000
Co2 Co 0.500 0.500 0.500
Cl1 Cl 0.000 0.000 0.500
Cl2 Cl 0.500 0.500 0.000
```

## Properties
As for the distance to the lowest polymorph of the same formula: 0.562 eV per atom.



Which formula does entry 3 have?
Mn2CoCl